[1]
# BaTbIn

An optimized crystal structure of BaTbIn (GGA-PBE, the Alexandria database).

Lattice parameters (Å, degrees): 4.0153 4.0153 14.5200 97.95 97.95 90.00
Last column: nearest neighbours and their distance in Å.
Atoms (fractional coordinates):
Tb 0.2871 0.2871 0.5742  4 In 3.24, 4 Tb 3.54
Tb 0.7129 0.7129 0.4258  4 In 3.24, 4 Tb 3.54
In 0.1581 0.1581 0.3163  4 Tb 3.24
In 0.8419 0.8419 0.6837  4 Tb 3.24
Ba 0.5755 0.5755 0.1509  4 In 3.69, 1 Tb 3.91, 4 Ba 4.02
Ba 0.4245 0.4245 0.8491  4 In 3.69, 1 Tb 3.91, 4 Ba 4.02

density of states at the Fermi level	4.9	states/eV per cell
total DFT energy (no corrections)	-3.360	eV per atom


[2]
# BaTb2In3

An optimized crystal structure of BaTb2In3 (GGA-PBE, the Alexandria database).

Lattice parameters (Å, degrees): 3.8866 3.8866 12.0828 90.00 90.00 90.00
Last column: nearest neighbours and their distance in Å.
Atoms (fractional coordinates):
Ba 0.5000 0.5000 0.5000  8 In 3.68, 4 Ba 3.89
Tb 0.5000 0.5000 0.8480  8 In 3.26-3.31
Tb 0.5000 0.5000 0.1520  8 In 3.26-3.31
In 0.0000 0.0000 0.0000  8 Tb 3.31, 2 In 3.59
In 0.0000 0.0000 0.7030  4 Tb 3.26, 1 In 3.59
In 0.0000 0.0000 0.2970  4 Tb 3.26, 1 In 3.59

density of states at the Fermi level	3.7	states/eV per cell
total DFT energy (no corrections)	-3.672	eV per atom